(a)
# ZrCrW

A relaxed ZrCrW crystal (GGA-PBEsol, Alexandria).

Properties
* SG: F-43m (216)

Lattice parameters (Å, degrees): 4.3655 4.3655 4.3655 60.00 60.00 60.00
Site moments in Bohr magnetons follow the coordinates.
Positions (direct):
Cr  0.0000  0.0000  0.0000  2.63
Zr  0.2500  0.2500  0.2500  -0.17
W  0.5000  0.5000  0.5000  -1.17



(b)
# ZrCrW

A relaxed ZrCrW crystal (GGA-PBEsol, Alexandria).

Properties
* SG: Imma (74)

Lattice parameters (Å, degrees): 5.1218 5.1687 5.1687 61.38 60.30 60.30
Positions (direct):
W  0.5000  0.0000  0.0000
W  0.5000  0.5000  0.5000
Cr  0.0000  0.0000  0.5000
Cr  0.5000  0.0000  0.5000
Zr  0.1228  0.6272  0.1272
Zr  0.8772  0.3728  0.8728



Energies relative to the most stable structure, in meV/atom: (a) 1645; (b) 0.